Ce6Pr: relaxed, PBE. Values from VASP.

total magnetization: 3.2 μB/f.u.
V: 31.9 Å³ per atom
ΔE_f: 4.2 eV/f.u.
SG: No. 229

Quantum ESPRESSO input file:
```
&SYSTEM
  ibrav = 0, nat = 14, ntyp = 2
/
ATOMIC_SPECIES
Ce 140.12 Ce.upf
Pr 140.91 Pr.upf
ATOMIC_POSITIONS angstrom
Ce 0.000 1.910 3.820
Ce 0.000 3.820 1.910
Ce 0.000 3.820 5.730
Ce 0.000 5.730 3.820
Ce 1.910 0.000 3.820
Ce 1.910 3.820 0.000
Ce 3.820 0.000 1.910
Ce 3.820 0.000 5.730
Ce 3.820 1.910 0.000
Ce 3.820 5.730 0.000
Ce 5.730 0.000 3.820
Ce 5.730 3.820 0.000
Pr 0.000 0.000 0.000
Pr 3.820 3.820 3.820
CELL_PARAMETERS angstrom
7.641 0.000 0.000
0.000 7.641 0.000
0.000 0.000 7.641
```